Crystalline Fe2Cu3Pd8 at its relaxed geometry, computed with GGA-PBE.

Results
Energy above the lowest structure with this stoichiometry (meV per atom): 0

abc: 4.766 6.258 7.043
angles: 116.22 91.93 97.92
Space group P-1 (No. 2)
Unique sites:
Fe 0.249 0.379 0.418 [2 per cell]
Cu 0.000 0.000 0.500 [1 per cell]
Cu 0.480 0.777 0.348 [2 per cell]
Pd 0.061 0.446 0.781 [2 per cell]
Pd 0.162 0.926 0.125 [2 per cell]
Pd 0.292 0.831 0.706 [2 per cell]
Pd 0.387 0.313 0.045 [2 per cell]

=====

Crystalline FeCuPd2 at its relaxed geometry, computed with GGA-PBE.

Results
Calculated total energy (eV per atom): -5.44

abc: 6.799 6.799 5.332
angles: 90.00 90.00 90.00
Space group I-42d (No. 122)
Unique sites:
Fe 0.000 0.000 0.000 [4 per cell]
Cu 0.000 0.000 0.500 [4 per cell]
Pd 0.242 0.250 0.125 [8 per cell]

=====

Calculated values (g/cm3) of theoretical density for the records, taken in order: 10.32 8.95.
Calculated values (states/eV/cell) of N(E_F) for the records, taken in order: 8.848 15.287.
Calculated values (Bohr magnetons per cell) of magnetization for the records, taken in order: 8.14 15.67.